(1)
DFT (PBEsol) results for an optimized crystal structure of Ta3Mo.

```
data_Ta3Mo
_symmetry_space_group_name_H-M 'P 1 21/m 1'
_symmetry_Int_Tables_number 11
_cell_length_a 2.825
_cell_length_b 4.589
_cell_length_c 10.495
_cell_angle_alpha 90.00
_cell_angle_beta 94.36
_cell_angle_gamma 90.00
loop_
_symmetry_equiv_pos_as_xyz
'x,y,z'
'-x,-y,-z'
'-x,y+1/2,-z'
'x,-y+1/2,z'
loop_
_atom_site_label
_atom_site_type_symbol
_atom_site_fract_x
_atom_site_fract_y
_atom_site_fract_z
Ta1 Ta 0.055 0.250 0.194
Ta2 Ta 0.314 0.250 0.936
Ta3 Ta 0.444 0.750 0.320
Mo1 Mo 0.182 0.750 0.560
```

Summary:
offset from the most stable computed form	5.46	kJ per mole of atoms
DFT formation energy	-0.2	eV per formula unit
spin magnetization	0.00	μB/cell

---

(2)
DFT (PBEsol) results for an optimized crystal structure of Ta3Mo.

```
data_Ta3Mo
_symmetry_space_group_name_H-M 'I 4/m m m'
_symmetry_Int_Tables_number 139
_symmetry_space_group_name_Hall '-I 4 2'
_cell_length_a 4.582
_cell_length_b 4.582
_cell_length_c 12.904
_cell_angle_alpha 90.00
_cell_angle_beta 90.00
_cell_angle_gamma 90.00
loop_
_atom_site_label
_atom_site_type_symbol
_atom_site_fract_x
_atom_site_fract_y
_atom_site_fract_z
Ta1 Ta 0.000 0.000 0.123
Ta2 Ta 0.000 0.500 0.000
Ta3 Ta 0.000 0.500 0.250
Mo1 Mo 0.000 0.000 0.373
```

Summary:
offset from the most stable computed form	2.95	kJ per mole of atoms
DFT formation energy	-0.3	eV per formula unit
spin magnetization	0.00	μB/cell

---

(3)
DFT (PBEsol) results for an optimized crystal structure of TaMo2.

```
data_TaMo2
_symmetry_space_group_name_H-M 'C m m m'
_symmetry_Int_Tables_number 65
_symmetry_space_group_name_Hall '-C 2 2'
_cell_length_a 3.173
_cell_length_b 13.514
_cell_length_c 4.468
_cell_angle_alpha 90.00
_cell_angle_beta 90.00
_cell_angle_gamma 90.00
loop_
_atom_site_label
_atom_site_type_symbol
_atom_site_fract_x
_atom_site_fract_y
_atom_site_fract_z
Ta1 Ta 0.000 0.163 0.000
Mo1 Mo 0.000 0.000 0.500
Mo2 Mo 0.000 0.333 0.500
Mo3 Mo 0.000 0.500 0.000
```

Summary:
DFT formation energy	-0.4	eV per formula unit
spin magnetization	0.00	μB/cell

---

(4)
DFT (PBEsol) results for an optimized crystal structure of Ta3Mo5.

```
data_Ta3Mo5
_symmetry_space_group_name_H-M 'P m m 2'
_symmetry_Int_Tables_number 25
_cell_length_a 3.170
_cell_length_b 4.524
_cell_length_c 8.955
_cell_angle_alpha 90.00
_cell_angle_beta 90.00
_cell_angle_gamma 90.00
loop_
_symmetry_equiv_pos_as_xyz
'x,y,z'
'-x,-y,z'
'-x,y,z'
'x,-y,z'
loop_
_atom_site_label
_atom_site_type_symbol
_atom_site_fract_x
_atom_site_fract_y
_atom_site_fract_z
Ta1 Ta 0.000 0.000 0.000
Ta2 Ta 0.000 0.500 0.258
Ta3 Ta 0.500 0.000 0.263
Mo1 Mo 0.000 0.000 0.513
Mo2 Mo 0.000 0.500 0.755
Mo3 Mo 0.500 0.000 0.751
Mo4 Mo 0.500 0.500 0.000
Mo5 Mo 0.500 0.500 0.512
```

Summary:
offset from the most stable computed form	6.46	kJ per mole of atoms
DFT formation energy	-0.8	eV per formula unit
spin magnetization	0.00	μB/cell

---

(5)
DFT (PBEsol) results for an optimized crystal structure of Ta3Mo.

```
data_Ta3Mo
_symmetry_space_group_name_H-M 'F m -3 m'
_symmetry_Int_Tables_number 225
_symmetry_space_group_name_Hall '-F 4 2 3'
_cell_length_a 6.469
_cell_length_b 6.469
_cell_length_c 6.469
_cell_angle_alpha 90.00
_cell_angle_beta 90.00
_cell_angle_gamma 90.00
loop_
_atom_site_label
_atom_site_type_symbol
_atom_site_fract_x
_atom_site_fract_y
_atom_site_fract_z
Ta1 Ta 0.000 0.000 0.000
Ta2 Ta 0.250 0.250 0.250
Mo1 Mo 0.000 0.000 0.500
```

Summary:
offset from the most stable computed form	3.57	kJ per mole of atoms
DFT formation energy	-0.3	eV per formula unit
spin magnetization	0.00	μB/cell

---

(6)
DFT (PBEsol) results for an optimized crystal structure of Ta3Mo5.

```
data_Ta3Mo5
_symmetry_space_group_name_H-M 'P 1 2 1'
_symmetry_Int_Tables_number 3
_cell_length_a 2.775
_cell_length_b 8.936
_cell_length_c 5.258
_cell_angle_alpha 90.00
_cell_angle_beta 99.71
_cell_angle_gamma 90.00
loop_
_symmetry_equiv_pos_as_xyz
'x,y,z'
'-x,y,-z'
loop_
_atom_site_label
_atom_site_type_symbol
_atom_site_fract_x
_atom_site_fract_y
_atom_site_fract_z
Ta1 Ta 0.000 0.000 0.000
Ta2 Ta 0.254 0.739 0.748
Mo1 Mo 0.000 0.486 0.000
Mo2 Mo 0.252 0.246 0.749
Mo3 Mo 0.500 0.486 0.500
Mo4 Mo 0.500 0.999 0.500
```

Summary:
offset from the most stable computed form	7.78	kJ per mole of atoms
DFT formation energy	-0.7	eV per formula unit
spin magnetization	0.00	μB/cell

---

(7)
DFT (PBEsol) results for an optimized crystal structure of Ta2Mo.

```
data_Ta2Mo
_symmetry_space_group_name_H-M 'P -3 m 1'
_symmetry_Int_Tables_number 164
_symmetry_space_group_name_Hall '-P 3 2"'
_cell_length_a 4.5607
_cell_length_b 4.5607
_cell_length_c 5.5649
_cell_angle_alpha 90.00
_cell_angle_beta 90.00
_cell_angle_gamma 120.00
loop_
_atom_site_label
_atom_site_type_symbol
_atom_site_fract_x
_atom_site_fract_y
_atom_site_fract_z
Ta1 Ta 0.0000 0.0000 0.0000
Ta2 Ta 0.0000 0.0000 0.5000
Ta3 Ta 0.3333 0.6667 0.1738
Mo1 Mo 0.3333 0.6667 0.6700
```

Summary:
offset from the most stable computed form	3.82	kJ per mole of atoms
DFT formation energy	-0.3	eV per formula unit
spin magnetization	0.00	μB/cell

---

(8)
DFT (PBEsol) results for an optimized crystal structure of TaMo4.

```
data_TaMo4
_symmetry_space_group_name_H-M 'F m m m'
_symmetry_Int_Tables_number 69
_symmetry_space_group_name_Hall '-F 2 2'
_cell_length_a 3.156
_cell_length_b 4.491
_cell_length_c 22.157
_cell_angle_alpha 90.00
_cell_angle_beta 90.00
_cell_angle_gamma 90.00
loop_
_atom_site_label
_atom_site_type_symbol
_atom_site_fract_x
_atom_site_fract_y
_atom_site_fract_z
Ta1 Ta 0.000 0.000 0.000
Mo1 Mo 0.000 0.000 0.201
Mo2 Mo 0.000 0.000 0.397
```

Summary:
offset from the most stable computed form	5.35	kJ per mole of atoms
DFT formation energy	-0.3	eV per formula unit
spin magnetization	0.00	μB/cell

---

(9)
DFT (PBEsol) results for an optimized crystal structure of Ta3Mo.

```
data_Ta3Mo
_symmetry_space_group_name_H-M 'C 1 2/m 1'
_symmetry_Int_Tables_number 12
_cell_length_a 9.640
_cell_length_b 4.594
_cell_length_c 6.485
_cell_angle_alpha 90.00
_cell_angle_beta 109.29
_cell_angle_gamma 90.00
loop_
_symmetry_equiv_pos_as_xyz
'x,y,z'
'-x,-y,-z'
'-x,y,-z'
'x,-y,z'
'x+1/2,y+1/2,z'
'-x+1/2,-y+1/2,-z'
'-x+1/2,y+1/2,-z'
'x+1/2,-y+1/2,z'
loop_
_atom_site_label
_atom_site_type_symbol
_atom_site_fract_x
_atom_site_fract_y
_atom_site_fract_z
Ta1 Ta 0.000 0.000 0.000
Ta2 Ta 0.000 0.000 0.500
Ta3 Ta 0.004 0.500 0.245
Ta4 Ta 0.249 0.500 0.630
Mo1 Mo 0.248 0.000 0.877
```

Summary:
offset from the most stable computed form	4.23	kJ per mole of atoms
DFT formation energy	-0.2	eV per formula unit
spin magnetization	0.00	μB/cell

---

(10)
DFT (PBEsol) results for an optimized crystal structure of TaMo7.

```
data_TaMo7
_symmetry_space_group_name_H-M 'I m -3 m'
_symmetry_Int_Tables_number 229
_symmetry_space_group_name_Hall '-I 4 2 3'
_cell_length_a 6.290
_cell_length_b 6.290
_cell_length_c 6.290
_cell_angle_alpha 90.00
_cell_angle_beta 90.00
_cell_angle_gamma 90.00
loop_
_atom_site_label
_atom_site_type_symbol
_atom_site_fract_x
_atom_site_fract_y
_atom_site_fract_z
Ta1 Ta 0.000 0.000 0.000
Mo1 Mo 0.000 0.000 0.500
Mo2 Mo 0.250 0.250 0.250
```

Summary:
offset from the most stable computed form	0.00	kJ per mole of atoms
DFT formation energy	-0.5	eV per formula unit
spin magnetization	0.00	μB/cell

---

(11)
DFT (PBEsol) results for an optimized crystal structure of TaMo2.

```
data_TaMo2
_symmetry_space_group_name_H-M 'C m c m'
_symmetry_Int_Tables_number 63
_symmetry_space_group_name_Hall '-C 2c 2'
_cell_length_a 4.479
_cell_length_b 13.471
_cell_length_c 3.174
_cell_angle_alpha 90.00
_cell_angle_beta 90.00
_cell_angle_gamma 90.00
loop_
_atom_site_label
_atom_site_type_symbol
_atom_site_fract_x
_atom_site_fract_y
_atom_site_fract_z
Ta1 Ta 0.000 0.086 0.250
Mo1 Mo 0.000 0.253 0.750
Mo2 Mo 0.000 0.416 0.250
```

Summary:
DFT formation energy	-0.4	eV per formula unit
spin magnetization	0.00	μB/cell

---

(12)
DFT (PBEsol) results for an optimized crystal structure of Ta2Mo.

```
data_Ta2Mo
_symmetry_space_group_name_H-M 'C 1 2/m 1'
_symmetry_Int_Tables_number 12
_cell_length_a 10.141
_cell_length_b 3.219
_cell_length_c 6.450
_cell_angle_alpha 90.00
_cell_angle_beta 107.46
_cell_angle_gamma 90.00
loop_
_symmetry_equiv_pos_as_xyz
'x,y,z'
'-x,-y,-z'
'-x,y,-z'
'x,-y,z'
'x+1/2,y+1/2,z'
'-x+1/2,-y+1/2,-z'
'-x+1/2,y+1/2,-z'
'x+1/2,-y+1/2,z'
loop_
_atom_site_label
_atom_site_type_symbol
_atom_site_fract_x
_atom_site_fract_y
_atom_site_fract_z
Ta1 Ta 0.000 0.000 0.000
Ta2 Ta 0.000 0.000 0.500
Ta3 Ta 0.173 0.500 0.329
Mo1 Mo 0.167 0.500 0.836
```

Summary:
offset from the most stable computed form	4.90	kJ per mole of atoms
DFT formation energy	-0.3	eV per formula unit
spin magnetization	0.00	μB/cell

---

(13)
DFT (PBEsol) results for an optimized crystal structure of Ta2Mo5.

```
data_Ta2Mo5
_symmetry_space_group_name_H-M 'F m m m'
_symmetry_Int_Tables_number 69
_symmetry_space_group_name_Hall '-F 2 2'
_cell_length_a 3.172
_cell_length_b 4.514
_cell_length_c 31.075
_cell_angle_alpha 90.00
_cell_angle_beta 90.00
_cell_angle_gamma 90.00
loop_
_atom_site_label
_atom_site_type_symbol
_atom_site_fract_x
_atom_site_fract_y
_atom_site_fract_z
Ta1 Ta 0.000 0.000 0.073
Mo1 Mo 0.000 0.000 0.215
Mo2 Mo 0.000 0.000 0.354
Mo3 Mo 0.000 0.000 0.500
```

Summary:
offset from the most stable computed form	3.54	kJ per mole of atoms
DFT formation energy	-0.5	eV per formula unit
spin magnetization	0.00	μB/cell

---

(14)
DFT (PBEsol) results for an optimized crystal structure of Ta2Mo.

```
data_Ta2Mo
_symmetry_space_group_name_H-M 'C m c m'
_symmetry_Int_Tables_number 63
_symmetry_space_group_name_Hall '-C 2c 2'
_cell_length_a 4.532
_cell_length_b 13.774
_cell_length_c 3.217
_cell_angle_alpha 90.00
_cell_angle_beta 90.00
_cell_angle_gamma 90.00
loop_
_atom_site_label
_atom_site_type_symbol
_atom_site_fract_x
_atom_site_fract_y
_atom_site_fract_z
Ta1 Ta 0.000 0.085 0.250
Ta2 Ta 0.000 0.256 0.750
Mo1 Mo 0.000 0.420 0.250
```

Summary:
offset from the most stable computed form	4.60	kJ per mole of atoms
DFT formation energy	-0.3	eV per formula unit
spin magnetization	0.00	μB/cell

---

(15)
DFT (PBEsol) results for an optimized crystal structure of TaMo7.

```
data_TaMo7
_symmetry_space_group_name_H-M 'C m m m'
_symmetry_Int_Tables_number 65
_symmetry_space_group_name_Hall '-C 2 2'
_cell_length_a 6.286
_cell_length_b 8.902
_cell_length_c 4.440
_cell_angle_alpha 90.00
_cell_angle_beta 90.00
_cell_angle_gamma 90.00
loop_
_atom_site_label
_atom_site_type_symbol
_atom_site_fract_x
_atom_site_fract_y
_atom_site_fract_z
Ta1 Ta 0.000 0.000 0.000
Mo1 Mo 0.000 0.249 0.500
Mo2 Mo 0.000 0.500 0.000
Mo3 Mo 0.247 0.500 0.500
Mo4 Mo 0.250 0.250 0.000
```

Summary:
offset from the most stable computed form	0.18	kJ per mole of atoms
DFT formation energy	-0.5	eV per formula unit
spin magnetization	0.00	μB/cell

---

(16)
DFT (PBEsol) results for an optimized crystal structure of TaMo2.

```
data_TaMo2
_symmetry_space_group_name_H-M 'P 4/m m m'
_symmetry_Int_Tables_number 123
_symmetry_space_group_name_Hall '-P 4 2'
_cell_length_a 3.170
_cell_length_b 3.170
_cell_length_c 9.528
_cell_angle_alpha 90.00
_cell_angle_beta 90.00
_cell_angle_gamma 90.00
loop_
_atom_site_label
_atom_site_type_symbol
_atom_site_fract_x
_atom_site_fract_y
_atom_site_fract_z
Ta1 Ta 0.000 0.000 0.168
Mo1 Mo 0.000 0.000 0.500
Mo2 Mo 0.500 0.500 0.000
Mo3 Mo 0.500 0.500 0.339
```

Summary:
DFT formation energy	-0.5	eV per formula unit
spin magnetization	0.00	μB/cell

---

(17)
DFT (PBEsol) results for an optimized crystal structure of Ta3Mo5.

```
data_Ta3Mo5
_symmetry_space_group_name_H-M 'R -3 m'
_symmetry_Int_Tables_number 166
_symmetry_space_group_name_Hall '-R 3 2"'
_cell_length_a 4.5125
_cell_length_b 4.5125
_cell_length_c 21.8389
_cell_angle_alpha 90.00
_cell_angle_beta 90.00
_cell_angle_gamma 120.00
loop_
_atom_site_label
_atom_site_type_symbol
_atom_site_fract_x
_atom_site_fract_y
_atom_site_fract_z
Ta1 Ta 0.0000 0.0000 0.0000
Ta2 Ta 0.0000 0.0000 0.3764
Mo1 Mo 0.0000 0.0000 0.1262
Mo2 Mo 0.0000 0.0000 0.2477
Mo3 Mo 0.0000 0.0000 0.5000
```

Summary:
offset from the most stable computed form	7.15	kJ per mole of atoms
DFT formation energy	-0.7	eV per formula unit
spin magnetization	0.00	μB/cell

---

(18)
DFT (PBEsol) results for an optimized crystal structure of Ta3Mo5.

```
data_Ta3Mo5
_symmetry_space_group_name_H-M 'P 4/m m m'
_symmetry_Int_Tables_number 123
_symmetry_space_group_name_Hall '-P 4 2'
_cell_length_a 6.354
_cell_length_b 6.354
_cell_length_c 3.177
_cell_angle_alpha 90.00
_cell_angle_beta 90.00
_cell_angle_gamma 90.00
loop_
_atom_site_label
_atom_site_type_symbol
_atom_site_fract_x
_atom_site_fract_y
_atom_site_fract_z
Ta1 Ta 0.000 0.000 0.000
Ta2 Ta 0.000 0.500 0.000
Mo1 Mo 0.253 0.253 0.500
Mo2 Mo 0.500 0.500 0.000
```

Summary:
offset from the most stable computed form	0.00	kJ per mole of atoms
DFT formation energy	-1.3	eV per formula unit
spin magnetization	0.00	μB/cell

---

(19)
DFT (PBEsol) results for an optimized crystal structure of Ta3Mo.

```
data_Ta3Mo
_symmetry_space_group_name_H-M 'P 1 2/m 1'
_symmetry_Int_Tables_number 10
_cell_length_a 2.842
_cell_length_b 4.552
_cell_length_c 5.336
_cell_angle_alpha 90.00
_cell_angle_beta 100.64
_cell_angle_gamma 90.00
loop_
_symmetry_equiv_pos_as_xyz
'x,y,z'
'-x,-y,-z'
'-x,y,-z'
'x,-y,z'
loop_
_atom_site_label
_atom_site_type_symbol
_atom_site_fract_x
_atom_site_fract_y
_atom_site_fract_z
Ta1 Ta 0.000 0.000 0.000
Ta2 Ta 0.269 0.500 0.745
Mo1 Mo 0.500 0.000 0.500
```

Summary:
offset from the most stable computed form	4.15	kJ per mole of atoms
DFT formation energy	-0.2	eV per formula unit
spin magnetization	0.00	μB/cell

---

(20)
DFT (PBEsol) results for an optimized crystal structure of Ta3Mo.

```
data_Ta3Mo
_symmetry_space_group_name_H-M 'P m m a'
_symmetry_Int_Tables_number 51
_cell_length_a 3.228
_cell_length_b 4.579
_cell_length_c 9.174
_cell_angle_alpha 90.00
_cell_angle_beta 90.00
_cell_angle_gamma 90.00
loop_
_symmetry_equiv_pos_as_xyz
'x,y,z'
'-x,-y,-z'
'-x+1/2,-y,z'
'x+1/2,y,-z'
'x+1/2,-y,-z'
'-x+1/2,y,z'
'-x,y,-z'
'x,-y,z'
loop_
_atom_site_label
_atom_site_type_symbol
_atom_site_fract_x
_atom_site_fract_y
_atom_site_fract_z
Ta1 Ta 0.250 0.000 0.123
Ta2 Ta 0.250 0.000 0.626
Ta3 Ta 0.250 0.500 0.868
Mo1 Mo 0.250 0.500 0.382
```

Summary:
offset from the most stable computed form	3.64	kJ per mole of atoms
DFT formation energy	-0.3	eV per formula unit
spin magnetization	0.00	μB/cell

---

Record order is preserved below.
Raw total energy: -0.4558; -0.4568; -0.4466; -0.4468; -0.4565; -0.4463; -0.4556; -0.4401; -0.4563; -0.4384; -0.4465; -0.4552; -0.4431; -0.4553; -0.4383; -0.4476; -0.4466; -0.4493; -0.4563; -0.4565 hartree per atom